This record from the Alexandria database describes crystalline CsBa2NpBr8 at its relaxed geometry. The functional is PBE-GGA.

ΔE_f (raw) ... -21.67 eV/f.u.
DFT total energy ... -4.391 eV/atom
Fermi-level density of states ... 4.3 states/eV per cell
Total moment ... 4.000 μB per cell

Unit cell a=7.259 b=7.374 c=10.126 alpha=89.98 beta=89.99 gamma=90.26
Last column: magnetic moment on the atom in μB.
Atoms (fractional coordinates):
Ba (0.500, 0.500, 0.752)  0.00
Ba (0.500, 0.500, 0.248)  0.00
Cs (0.000, 0.000, 0.500)  0.00
Br (0.596, 0.741, 0.500)  0.00
Br (0.404, 0.259, 0.500)  0.00
Br (0.327, 0.243, 0.000)  -0.01
Br (0.673, 0.757, 0.000)  -0.01
Br (0.144, 0.763, 0.798)  -0.01
Br (0.143, 0.763, 0.202)  -0.01
Br (0.857, 0.237, 0.798)  -0.01
Br (0.856, 0.237, 0.202)  -0.01
Np (0.000, 0.000, 0.000)  3.98



This record from the Alexandria database describes crystalline CsBaBrO at its relaxed geometry. The functional is PBE-GGA.

ΔE_f (raw) ... -7.60 eV/f.u.
DFT total energy ... -4.253 eV/atom
Fermi-level density of states ... 0.0 states/eV per cell
Total moment ... 0.032 μB per cell

Unit cell a=4.149 b=4.149 c=8.922 alpha=76.56 beta=76.56 gamma=60.00
Atoms (fractional coordinates):
Br (0.210, 0.210, 0.370)
Ba (0.641, 0.641, 0.077)
O (0.351, 0.351, 0.947)
Cs (0.776, 0.776, 0.671)



This record from the Alexandria database describes crystalline Cs2BaBr6O at its relaxed geometry. The functional is PBE-GGA.

ΔE_f (raw) ... -10.67 eV/f.u.
DFT total energy ... -2.930 eV/atom
Fermi-level density of states ... 0.0 states/eV per cell
Total moment ... 0.000 μB per cell

Unit cell a=7.668 b=7.668 c=8.861 alpha=64.36 beta=64.36 gamma=90.00
Atoms (fractional coordinates):
Br (0.776, 0.776, 0.449)
Br (0.224, 0.224, 0.551)
Br (0.709, 0.709, 0.000)
Br (0.709, 0.291, 0.000)
Br (0.291, 0.709, 0.000)
Br (0.291, 0.291, 0.000)
O (0.500, 0.500, 0.000)
Cs (0.250, 0.750, 0.500)
Cs (0.750, 0.250, 0.500)
Ba (0.000, 0.000, 0.000)



This record from the Alexandria database describes crystalline Cs2BaTa6Br15O3 at its relaxed geometry. The functional is PBE-GGA.

ΔE_f (raw) ... -39.61 eV/f.u.
DFT total energy ... -5.716 eV/atom
Fermi-level density of states ... 4.1 states/eV per cell
Total moment ... 1.965 μB per cell

Unit cell a=9.928 b=9.956 c=18.903 alpha=89.89 beta=89.77 gamma=60.09
Last column: magnetic moment on the atom in μB.
Atoms (fractional coordinates):
Br (0.012, 0.784, 0.407)  0.01
Br (0.208, 0.583, 0.250)  0.00
Br (0.387, 0.554, 0.884)  0.00
Br (0.059, 0.554, 0.616)  0.00
Br (0.217, 0.800, 0.593)  0.00
Br (0.791, 0.795, 0.749)  0.01
Br (0.944, 0.610, 0.114)  0.00
Br (0.796, 0.216, 0.907)  0.01
Br (0.216, 0.986, 0.909)  0.00
Br (0.613, 0.446, 0.116)  0.00
Br (0.209, 0.205, 0.251)  0.01
Br (0.446, 0.610, 0.386)  0.00
Br (0.017, 0.200, 0.093)  0.00
Br (0.983, 0.800, 0.907)  0.00
Br (0.386, 0.054, 0.619)  0.01
Br (0.413, 0.795, 0.751)  0.01
Br (0.587, 0.205, 0.249)  0.01
Br (0.784, 0.014, 0.091)  0.00
Br (0.941, 0.446, 0.384)  0.00
Br (0.988, 0.216, 0.593)  0.01
Br (0.554, 0.390, 0.614)  0.00
Br (0.056, 0.390, 0.886)  0.00
Br (0.439, 0.946, 0.119)  0.01
Br (0.614, 0.946, 0.381)  0.01
Br (0.792, 0.417, 0.750)  0.00
Br (0.783, 0.200, 0.407)  0.00
Br (0.798, 0.986, 0.591)  0.00
Br (0.561, 0.054, 0.881)  0.01
Br (0.202, 0.014, 0.409)  0.00
Br (0.204, 0.784, 0.093)  0.01
Cs (0.669, 0.672, 0.534)  0.00
Cs (0.331, 0.328, 0.466)  0.00
Cs (0.659, 0.672, 0.966)  0.00
Cs (0.341, 0.328, 0.034)  0.00
Ta (0.016, 0.816, 0.688)  0.00
Ta (0.168, 0.816, 0.812)  0.00
Ta (0.163, 0.012, 0.690)  0.10
Ta (0.825, 0.012, 0.810)  0.10
Ta (0.189, 0.826, 0.316)  0.19
Ta (0.985, 0.826, 0.184)  0.19
Ta (0.015, 0.174, 0.816)  0.19
Ta (0.832, 0.184, 0.188)  0.00
Ta (0.811, 0.174, 0.684)  0.19
Ta (0.175, 0.988, 0.190)  0.10
Ta (0.984, 0.184, 0.312)  0.00
Ta (0.837, 0.988, 0.310)  0.10
O (0.662, 0.173, 0.749)  0.03
O (0.172, 0.656, 0.750)  0.00
O (0.828, 0.344, 0.250)  0.00
O (0.165, 0.173, 0.751)  0.03
O (0.835, 0.827, 0.249)  0.03
O (0.338, 0.827, 0.251)  0.03
Ba (0.333, 0.334, 0.750)  0.00
Ba (0.667, 0.666, 0.250)  0.00



This record from the Alexandria database describes crystalline CsBa2PmBr8 at its relaxed geometry. The functional is PBE-GGA.

ΔE_f (raw) ... -23.90 eV/f.u.
DFT total energy ... -3.895 eV/atom
Fermi-level density of states ... 0.0 states/eV per cell
Total moment ... 0.000 μB per cell

Unit cell a=7.379 b=7.253 c=10.142 alpha=89.97 beta=89.99 gamma=90.22
Atoms (fractional coordinates):
Br (0.150, 0.768, 0.203)
Br (0.398, 0.259, 0.500)
Br (0.151, 0.769, 0.798)
Br (0.602, 0.741, 0.500)
Br (0.850, 0.232, 0.797)
Br (0.679, 0.756, 0.000)
Br (0.849, 0.231, 0.202)
Br (0.321, 0.244, 0.000)
Cs (0.000, 0.000, 0.500)
Ba (0.500, 0.500, 0.752)
Ba (0.500, 0.500, 0.248)
Pm (0.000, 0.000, 0.000)



This record from the Alexandria database describes crystalline CsBaPmBr6 at its relaxed geometry. The functional is PBE-GGA.

ΔE_f (raw) ... -17.86 eV/f.u.
DFT total energy ... -3.936 eV/atom
Fermi-level density of states ... 0.0 states/eV per cell
Total moment ... 0.000 μB per cell

Unit cell a=8.159 b=8.159 c=15.043 alpha=90.00 beta=90.00 gamma=120.00
Atoms (fractional coordinates):
Cs (0.000, 0.000, 0.000)
Cs (0.000, 0.000, 0.500)
Br (0.641, 0.609, 0.138)
Br (0.609, 0.641, 0.638)
Br (0.968, 0.359, 0.138)
Br (0.609, 0.968, 0.862)
Br (0.391, 0.359, 0.362)
Br (0.391, 0.032, 0.138)
Br (0.641, 0.032, 0.362)
Br (0.359, 0.968, 0.638)
Br (0.968, 0.609, 0.362)
Br (0.359, 0.391, 0.862)
Br (0.032, 0.641, 0.862)
Br (0.032, 0.391, 0.638)
Ba (0.333, 0.667, 0.250)
Ba (0.667, 0.333, 0.750)
Pm (0.333, 0.667, 0.750)
Pm (0.667, 0.333, 0.250)



This record from the Alexandria database describes crystalline CsBaPrBr6 at its relaxed geometry. The functional is PBE-GGA.

ΔE_f (raw) ... -17.84 eV/f.u.
DFT total energy ... -3.937 eV/atom
Fermi-level density of states ... 0.0 states/eV per cell
Total moment ... 0.000 μB per cell

Unit cell a=8.214 b=8.214 c=15.043 alpha=90.00 beta=90.00 gamma=120.00
Atoms (fractional coordinates):
Br (0.611, 0.972, 0.863)
Br (0.639, 0.028, 0.363)
Br (0.361, 0.389, 0.863)
Br (0.611, 0.639, 0.637)
Br (0.028, 0.639, 0.863)
Br (0.972, 0.611, 0.363)
Br (0.361, 0.972, 0.637)
Br (0.389, 0.028, 0.137)
Br (0.389, 0.361, 0.363)
Br (0.028, 0.389, 0.637)
Br (0.639, 0.611, 0.137)
Br (0.972, 0.361, 0.137)
Cs (0.000, 0.000, 0.500)
Cs (0.000, 0.000, 0.000)
Ba (0.333, 0.667, 0.250)
Ba (0.667, 0.333, 0.750)
Pr (0.333, 0.667, 0.750)
Pr (0.667, 0.333, 0.250)



This record from the Alexandria database describes crystalline Cs2BaPtBr6 at its relaxed geometry. The functional is PBE-GGA.

ΔE_f (raw) ... -13.50 eV/f.u.
DFT total energy ... -3.321 eV/atom
Fermi-level density of states ... 0.0 states/eV per cell
Total moment ... 0.000 μB per cell

Unit cell a=7.923 b=7.923 c=8.830 alpha=63.35 beta=63.35 gamma=90.00
Atoms (fractional coordinates):
Pt (0.000, 0.000, 0.000)
Br (0.219, 0.781, 0.000)
Br (0.781, 0.219, 0.000)
Br (0.270, 0.270, 0.460)
Br (0.219, 0.219, 0.000)
Br (0.781, 0.781, 0.000)
Br (0.730, 0.730, 0.540)
Ba (0.500, 0.500, 0.000)
Cs (0.750, 0.250, 0.500)
Cs (0.250, 0.750, 0.500)



This record from the Alexandria database describes crystalline CsBaPuBr6 at its relaxed geometry. The functional is PBE-GGA.

ΔE_f (raw) ... -16.35 eV/f.u.
DFT total energy ... -4.833 eV/atom
Fermi-level density of states ... 25.7 states/eV per cell
Total moment ... 10.000 μB per cell

Unit cell a=8.172 b=8.172 c=15.040 alpha=90.00 beta=90.00 gamma=120.00
Last column: magnetic moment on the atom in μB.
Atoms (fractional coordinates):
Br (0.968, 0.612, 0.360)  -0.02
Br (0.968, 0.355, 0.140)  -0.02
Br (0.032, 0.388, 0.640)  -0.02
Br (0.612, 0.645, 0.640)  -0.02
Br (0.356, 0.968, 0.640)  -0.02
Br (0.388, 0.355, 0.360)  -0.02
Br (0.644, 0.612, 0.140)  -0.02
Br (0.644, 0.032, 0.360)  -0.02
Br (0.388, 0.032, 0.140)  -0.02
Br (0.612, 0.968, 0.860)  -0.02
Br (0.032, 0.645, 0.860)  -0.02
Br (0.356, 0.388, 0.860)  -0.02
Ba (0.333, 0.667, 0.250)  0.00
Ba (0.667, 0.333, 0.750)  0.00
Pu (0.667, 0.333, 0.250)  5.06
Pu (0.333, 0.667, 0.750)  5.06
Cs (0.000, 0.000, 0.500)  0.00
Cs (0.000, 0.000, 0.000)  0.00



This record from the Alexandria database describes crystalline Cs2BaPuBr8 at its relaxed geometry. The functional is PBE-GGA.

ΔE_f (raw) ... -19.96 eV/f.u.
DFT total energy ... -4.276 eV/atom
Fermi-level density of states ... 6.4 states/eV per cell
Total moment ... 3.997 μB per cell

Unit cell a=7.357 b=8.167 c=9.751 alpha=89.98 beta=90.02 gamma=93.63
Last column: magnetic moment on the atom in μB.
Atoms (fractional coordinates):
Br (0.882, 0.203, 0.210)  -0.06
Br (0.118, 0.797, 0.790)  -0.06
Br (0.117, 0.797, 0.210)  -0.06
Br (0.649, 0.765, 0.500)  -0.01
Br (0.671, 0.825, 0.000)  -0.09
Br (0.351, 0.235, 0.500)  -0.01
Br (0.329, 0.175, 0.000)  -0.09
Br (0.883, 0.203, 0.790)  -0.06
Cs (0.500, 0.500, 0.759)  0.00
Cs (0.500, 0.500, 0.241)  0.00
Ba (0.000, 0.000, 0.500)  0.00
Pu (0.000, 0.000, 0.000)  4.51